No. 1
Ce3Sb2Ru PBE relaxed; total moment = 0.519 μB per atom; final energy = -160.1 eV per cell; formation energy without anion corrections = -0.786 eV/atom; relative energy among the computed polymorphs = 0.0 meV/atom
1.0
12.656 0.000 0.000
0.000 4.412 0.000
0.000 0.000 11.651
Ce Sb Ru
12 8 4
direct
0.052 0.250 0.124 Ce
0.121 0.750 0.546 Ce
0.245 0.250 0.787 Ce
0.255 0.750 0.287 Ce
0.379 0.250 0.046 Ce
0.448 0.750 0.624 Ce
0.552 0.250 0.376 Ce
0.621 0.750 0.954 Ce
0.745 0.250 0.713 Ce
0.755 0.750 0.213 Ce
0.879 0.250 0.454 Ce
0.948 0.750 0.876 Ce
0.003 0.250 0.695 Sb
0.192 0.750 0.993 Sb
0.308 0.250 0.493 Sb
0.497 0.750 0.195 Sb
0.503 0.250 0.805 Sb
0.692 0.750 0.507 Sb
0.808 0.250 0.007 Sb
0.997 0.750 0.305 Sb
0.123 0.250 0.363 Ru
0.377 0.750 0.863 Ru
0.623 0.250 0.137 Ru
0.877 0.750 0.637 Ru

No. 2
Ce12ScRu6 PBE relaxed; E_form = -0.0685 eV/atom; total moment = 0.297 μB per atom; final energy = -134.5 eV per cell
1.0
4.852 2.801 5.774
-4.852 2.801 5.774
0.000 -5.603 5.774
Ce Sc Ru
12 1 6
direct
0.105 0.105 0.555 Ce
0.105 0.555 0.105 Ce
0.190 0.530 0.530 Ce
0.445 0.895 0.895 Ce
0.470 0.470 0.810 Ce
0.470 0.810 0.470 Ce
0.530 0.190 0.530 Ce
0.530 0.530 0.190 Ce
0.555 0.105 0.105 Ce
0.810 0.470 0.470 Ce
0.895 0.445 0.895 Ce
0.895 0.895 0.445 Ce
0.000 0.000 0.000 Sc
0.201 0.759 0.759 Ru
0.241 0.241 0.799 Ru
0.241 0.799 0.241 Ru
0.759 0.201 0.759 Ru
0.759 0.759 0.201 Ru
0.799 0.241 0.241 Ru